Below is a relaxed TlReMoCl2 crystal, with properties calculated at the PBE-GGA level.

Summary:
Total magnetic moment, Bohr magnetons per cell: 1.84
Raw formation energy, eV per atom: 0.825
Volume, Å³/cell: 118.4

Unit cell a=4.816 b=4.816 c=5.103 alpha=90.00 beta=90.00 gamma=90.00
Fractional positions:
Tl 0.000 0.000 0.000
Re 0.500 0.500 0.500
Mo 0.500 0.500 0.000
Cl 0.000 0.500 0.500
Cl 0.500 0.000 0.500

=====

Below is a relaxed UBiPtAu crystal, with properties calculated at the PBE-GGA level.

Summary:
Formation energy from the elements, eV/atom: -0.26
Total magnetic moment, Bohr magnetons per cell: 8.15
Volume, Å³/cell: 355.4

Unit cell a=7.083 b=7.083 c=7.083 alpha=90.00 beta=90.00 gamma=90.00
Fractional positions:
U 0.000 0.000 0.000
U 0.000 0.500 0.500
U 0.500 0.000 0.500
U 0.500 0.500 0.000
Bi 0.000 0.000 0.500
Bi 0.000 0.500 0.000
Bi 0.500 0.000 0.000
Bi 0.500 0.500 0.500
Pt 0.250 0.250 0.750
Pt 0.250 0.750 0.250
Pt 0.750 0.250 0.250
Pt 0.750 0.750 0.750
Au 0.250 0.250 0.250
Au 0.250 0.750 0.750
Au 0.750 0.250 0.750
Au 0.750 0.750 0.250

=====

Below is a relaxed TaMnCu2 crystal, with properties calculated at the PBE-GGA level.

Summary:
Formation energy from the elements, eV/atom: 0.16
Total magnetic moment, Bohr magnetons per cell: 3.21
Volume, Å³/cell: 108.3
ΔE to the lowest computed polymorph, eV per atom: 0.069

Unit cell a=3.753 b=3.753 c=7.689 alpha=90.00 beta=90.00 gamma=90.00
Fractional positions:
Ta 0.000 0.000 0.000
Ta 0.500 0.500 0.500
Mn 0.000 0.500 0.250
Mn 0.500 0.000 0.750
Cu 0.000 0.000 0.500
Cu 0.000 0.500 0.750
Cu 0.500 0.000 0.250
Cu 0.500 0.500 0.000

=====

Below is a relaxed Ca2AcTlSe4 crystal, with properties calculated at the PBE-GGA level.

Summary:
Total magnetic moment, Bohr magnetons per cell: 0.00
Raw formation energy, eV per atom: -1.674
Volume, Å³/cell: 240.5

Unit cell a=7.579 b=4.401 c=7.604 alpha=90.00 beta=108.52 gamma=90.00
Fractional positions:
Ca 0.000 0.000 0.000
Ca 0.500 0.500 0.000
Ac 0.000 0.500 0.500
Tl 0.500 0.000 0.500
Se 0.229 0.500 0.225
Se 0.245 0.000 0.765
Se 0.755 0.000 0.235
Se 0.771 0.500 0.775

=====

Below is a relaxed Ca2PtAu crystal, with properties calculated at the PBE-GGA level.

Summary:
Formation energy from the elements, eV/atom: -0.88
Total magnetic moment, Bohr magnetons per cell: 0.00
Volume, Å³/cell: 194.6

Unit cell a=4.505 b=3.970 c=10.880 alpha=90.00 beta=90.00 gamma=90.00
Fractional positions:
Ca 0.000 0.000 0.000
Ca 0.000 0.500 0.500
Ca 0.500 0.000 0.281
Ca 0.500 0.500 0.781
Pt 0.500 0.000 0.559
Pt 0.500 0.500 0.059
Au 0.000 0.000 0.720
Au 0.000 0.500 0.220

=====

Below is a relaxed CaNdEuTm crystal, with properties calculated at the PBE-GGA level.

Summary:
Formation energy from the elements, eV/atom: 0.13
Total magnetic moment, Bohr magnetons per cell: 28.90
Volume, Å³/cell: 579.0

Unit cell a=8.335 b=8.335 c=8.335 alpha=90.00 beta=90.00 gamma=90.00
Fractional positions:
Ca 0.000 0.000 0.000
Ca 0.000 0.500 0.500
Ca 0.500 0.000 0.500
Ca 0.500 0.500 0.000
Nd 0.250 0.250 0.250
Nd 0.250 0.750 0.750
Nd 0.750 0.250 0.750
Nd 0.750 0.750 0.250
Eu 0.250 0.250 0.750
Eu 0.250 0.750 0.250
Eu 0.750 0.250 0.250
Eu 0.750 0.750 0.750
Tm 0.000 0.000 0.500
Tm 0.000 0.500 0.000
Tm 0.500 0.000 0.000
Tm 0.500 0.500 0.500

=====

| no. | total energy (eV per atom) |
| --- | --- |
| 1 | -5.043 |
| 2 | -6.380 |
| 3 | -7.145 |
| 4 | -4.726 |
| 5 | -4.208 |
| 6 | -5.246 |